No. 1
5
Lattice="6.094 0.000 0.000 0.000 6.094 0.000 0.000 0.000 5.528" Properties=species:S:1:pos:R:3 comment="BaSr2CdAu | Alexandria | GGA-PBE | relaxed" de_polymorph_mev_per_atom=31 delta_e_f_ev_per_atom=-0.266 pbc="T T T"
Ba 0.000 0.000 0.000
Sr 0.000 3.047 2.764
Sr 3.047 0.000 2.764
Cd 3.047 3.047 0.000
Au 3.047 3.047 2.764

No. 2
4
Lattice="3.427 0.000 0.000 0.000 3.427 0.000 0.000 0.000 6.959" Properties=species:S:1:pos:R:3 comment="EuScCu2 | Alexandria | GGA-PBE | relaxed" de_polymorph_mev_per_atom=0 delta_e_f_ev_per_atom=-0.165 pbc="T T T"
Eu 0.000 0.000 0.000
Sc 0.000 0.000 3.479
Cu 1.713 1.713 2.115
Cu 1.713 1.713 4.844

No. 3
6
Lattice="-2.180 7.293 3.673 2.180 -7.293 3.673 2.180 7.293 -3.673" Properties=species:S:1:pos:R:3 comment="SrLi | Alexandria | GGA-PBE | relaxed" de_polymorph_mev_per_atom=36 delta_e_f_ev_per_atom=0.063 pbc="T T T"
Sr 0.000 0.000 0.000
Sr 0.000 4.198 1.741
Sr 0.000 10.388 1.741
Li 2.180 -1.468 2.319
Li 2.180 1.468 2.319
Li 0.000 0.000 3.798

No. 4
5
Lattice="4.872 0.000 0.000 0.000 4.872 0.000 0.000 0.000 4.658" Properties=species:S:1:pos:R:3 comment="BaSrN2O | Alexandria | GGA-PBE | relaxed" raw_formation_energy_ev_per_atom=0.107 pbc="T T T"
Ba 0.000 0.000 0.000
Sr 2.436 2.436 2.329
N 0.000 2.436 2.329
N 2.436 0.000 2.329
O 2.436 2.436 0.000

Raw total energy in eV per atom, matching the order above: -2.162 -6.365 -1.734 -4.936